[1]
Entry from Alexandria: Co2OsW at its PBEsol-relaxed geometry (meta-GGA SCAN).

Cell lengths 2.606, 3.648, 5.205 Å; angles 90.00, 90.00, 90.00 degrees
Positions (direct):
1 Co 0.000 0.000 0.241
2 Co 0.000 0.000 0.759
3 Os 0.500 0.500 0.000
4 W 0.500 0.500 0.500

**Size of the total moment**: 1.89 μB/cell
**E_form**: 201 meV/atom
**Polymorph energy (0 for the lowest one)**: 38 kJ/mol of formula units
**V**: 12.37 Å³ per atom


[2]
Entry from Alexandria: CoOs2W at its PBEsol-relaxed geometry (meta-GGA SCAN).

Cell lengths 3.780, 3.780, 3.754 Å; angles 90.00, 90.00, 90.00 degrees
Positions (direct):
1 Co 0.000 0.000 0.000
2 Os 0.000 0.500 0.500
3 Os 0.500 0.000 0.500
4 W 0.500 0.500 0.000

**Size of the total moment**: 0.34 μB/cell
**E_form**: 47 meV/atom
**Polymorph energy (0 for the lowest one)**: 0 kJ/mol of formula units
**V**: 13.41 Å³ per atom


[3]
Entry from Alexandria: CoOs2W at its PBEsol-relaxed geometry (meta-GGA SCAN).

Cell lengths 2.703, 2.703, 7.382 Å; angles 90.00, 90.00, 90.00 degrees
Positions (direct):
1 Co 0.000 0.000 0.000
2 Os 0.500 0.500 0.232
3 Os 0.500 0.500 0.768
4 W 0.000 0.000 0.500

**Size of the total moment**: 1.80 μB/cell
**E_form**: 231 meV/atom
**Polymorph energy (0 for the lowest one)**: 71 kJ/mol of formula units
**V**: 13.48 Å³ per atom


[4]
Entry from Alexandria: Co2OsW at its PBEsol-relaxed geometry (meta-GGA SCAN).

Cell lengths 2.621, 4.163, 4.505 Å; angles 90.00, 90.00, 90.00 degrees
Positions (direct):
1 Co 0.000 0.000 0.000
2 Co 0.000 0.500 0.318
3 Os 0.500 0.500 0.846
4 W 0.500 0.000 0.492

**Size of the total moment**: 0.48 μB/cell
**E_form**: 116 meV/atom
**Polymorph energy (0 for the lowest one)**: 6 kJ/mol of formula units
**V**: 12.29 Å³ per atom


[5]
Entry from Alexandria: Co2OsW at its PBEsol-relaxed geometry (meta-GGA SCAN).

Cell lengths 3.665, 3.665, 3.674 Å; angles 90.00, 90.00, 90.00 degrees
Positions (direct):
1 Co 0.000 0.500 0.000
2 Co 0.500 0.000 0.000
3 Os 0.000 0.000 0.500
4 W 0.500 0.500 0.500

**Size of the total moment**: 1.33 μB/cell
**E_form**: 101 meV/atom
**Polymorph energy (0 for the lowest one)**: 0 kJ/mol of formula units
**V**: 12.34 Å³ per atom


[6]
Entry from Alexandria: YCoOs2 at its PBEsol-relaxed geometry (meta-GGA SCAN).

Cell lengths 3.793, 3.793, 4.268 Å; angles 90.00, 90.00, 90.00 degrees
Positions (direct):
1 Y 0.000 0.000 0.000
2 Co 0.500 0.500 0.000
3 Os 0.000 0.500 0.500
4 Os 0.500 0.000 0.500

**Size of the total moment**: 0.84 μB/cell
**E_form**: 365 meV/atom
**Polymorph energy (0 for the lowest one)**: 55 kJ/mol of formula units
**V**: 15.36 Å³ per atom


Question: Look up the polymorph energy (0 for the lowest one) of the fourth one.
Answer: 6 kJ/mol of formula units


Question: Which of these has the highest V?
Answer: YCoOs2